(1)
KBe3Os | PBE-GGA | relaxed

Formation energy from the elements: 2.90 eV per formula unit
DFT total energy: -20.61 eV for the cell shown
Spin magnetization: 0.0000 μB per atom

abc: 4.4435 4.4435 4.4435
angles: 90.00 90.00 90.00
Space group Pm-3m (No. 221)
One atom of each set of equivalent atoms:
K1 0.0000 0.0000 0.0000 x1
Be1 0.0000 0.5000 0.5000 x3
Os1 0.5000 0.5000 0.5000 x1

***

(2)
InAg2Te | PBE-GGA | relaxed

DFT total energy: -11.15 eV for the cell shown
Uncorrected formation energy: 0.107 eV per atom
Spin magnetization: 0.0000 μB per atom

abc: 3.1757 3.1757 9.3915
angles: 90.00 90.00 90.00
Space group P4mm (No. 99)
One atom of each set of equivalent atoms:
In1 0.0000 0.0000 0.0000 x1
Ag1 0.0000 0.0000 0.5763 x1
Ag2 0.5000 0.5000 0.7736 x1
Te1 0.5000 0.5000 0.3289 x1

***

(3)
CsTl6Ga | PBE-GGA | relaxed

Formation energy from the elements: -0.01 eV per formula unit
DFT total energy: -18.09 eV for the cell shown
Spin magnetization: 0.0000 μB per atom

abc: 5.3032 5.3032 9.8105
angles: 90.00 90.00 90.00
Space group P4/mmm (No. 123)
One atom of each set of equivalent atoms:
Cs1 0.0000 0.0000 0.0000 x1
Tl1 0.0000 0.5000 0.3333 x4
Tl2 0.5000 0.5000 0.1573 x2
Ga1 0.0000 0.0000 0.5000 x1

***

Please write out number 2 again, unchanged.
InAg2Te | PBE-GGA | relaxed

DFT total energy: -11.15 eV for the cell shown
Uncorrected formation energy: 0.107 eV per atom
Spin magnetization: 0.0000 μB per atom

abc: 3.1757 3.1757 9.3915
angles: 90.00 90.00 90.00
Space group P4mm (No. 99)
One atom of each set of equivalent atoms:
In1 0.0000 0.0000 0.0000 x1
Ag1 0.0000 0.0000 0.5763 x1
Ag2 0.5000 0.5000 0.7736 x1
Te1 0.5000 0.5000 0.3289 x1